{"formula": "GdErCd6", "functional": "PBE-GGA", "state": "relaxed", "ef_ev_per_atom": -0.277, "e_tot_ev_per_atom": -2.10, "relative_energy_mev_per_atom": 11.8, "rho_g_cm3": 9.071, "lattice": [[5.0527, 0.0000, 0.0000], [0.0000, 5.0527, 0.0000], [0.0000, 0.0000, 7.1628]], "species": ["Cd", "Cd", "Cd", "Cd", "Cd", "Cd", "Er", "Gd"], "fractional_positions": [[0.5000, 0.5000, 0.0000], [0.5000, 0.0000, 0.2472], [0.0000, 0.5000, 0.2472], [0.0000, 0.0000, 0.5000], [0.5000, 0.0000, 0.7528], [0.0000, 0.5000, 0.7528], [0.0000, 0.0000, 0.0000], [0.5000, 0.5000, 0.5000]]}